# PBE-GGA HgTeAsO, relaxed
# Offset from the most stable computed form   438 meV/atom
# Volume   19.46 Å³/atom
# Calculated total energy   -3.14 eV per atom
data_HgTeAsO
_symmetry_space_group_name_H-M 'P 4/n m m'
_symmetry_Int_Tables_number 129
_cell_length_a 4.049
_cell_length_b 4.049
_cell_length_c 9.495
_cell_angle_alpha 90.00
_cell_angle_beta 90.00
_cell_angle_gamma 90.00
loop_
_symmetry_equiv_pos_as_xyz
'x,y,z'
'-x,-y,-z'
'-y+1/2,x,z'
'y+1/2,-x,-z'
'-x+1/2,-y+1/2,z'
'x+1/2,y+1/2,-z'
'y,-x+1/2,z'
'-y,x+1/2,-z'
'x+1/2,-y,-z'
'-x+1/2,y,z'
'-y,-x,-z'
'y,x,z'
'-x,y+1/2,-z'
'x,-y+1/2,z'
'y+1/2,x+1/2,-z'
'-y+1/2,-x+1/2,z'
loop_
_atom_site_label
_atom_site_fract_x
_atom_site_fract_y
_atom_site_fract_z
_atom_site_occupancy
Hg1 0.250 0.750 0.000 1
Te1 0.250 0.250 0.372 1
As1 0.250 0.250 0.774 1
O1 0.250 0.750 0.500 1